An optimized crystal structure of Hf2Al2Mo, computed with GGA-PBE.

a b c (Å): 8.2669 8.2669 8.2669
angles (deg): 155.31 155.31 35.19
Last column: nearest neighbours and their distance in Å.
Positions (direct):
Hf: 0.0945 0.0945 0.0000  4 Mo 2.91, 1 Hf 2.98, 4 Al 3.02
Hf: 0.9055 0.9055 0.0000  4 Mo 2.91, 1 Hf 2.98, 4 Al 3.02
Al: 0.2500 0.7500 0.5000  4 Al 2.50
Al: 0.7500 0.2500 0.5000  4 Al 2.50
Mo: 0.5000 0.5000 0.0000  8 Hf 2.91

## Properties
calculated total energy = -7.4730 eV per atom



An optimized crystal structure of Hf2AlMo2, computed with GGA-PBE.

a b c (Å): 6.7121 6.7121 6.7121
angles (deg): 144.02 144.02 51.80
Last column: nearest neighbours and their distance in Å.
Positions (direct):
Hf: 0.2500 0.7500 0.5000  4 Mo 2.79, 4 Hf 2.93
Hf: 0.7500 0.2500 0.5000  4 Mo 2.79, 4 Hf 2.93
Al: 0.0000 0.0000 0.0000  8 Mo 3.15
Mo: 0.4047 0.4047 0.0000  1 Mo 2.30
Mo: 0.5953 0.5953 0.0000  1 Mo 2.30

## Properties
calculated total energy = -8.3116 eV per atom



An optimized crystal structure of HfAlMo, computed with GGA-PBE.

a b c (Å): 7.3006 3.4079 8.5867
angles (deg): 90.00 90.00 90.00
Last column: nearest neighbours and their distance in Å.
Positions (direct):
Hf: 0.0579 0.2500 0.1634  5 Al 2.81-2.92, 2 Mo 3.04
Hf: 0.4421 0.7500 0.6634  5 Al 2.81-2.92, 2 Mo 3.04
Hf: 0.5579 0.2500 0.3366  5 Al 2.81-2.92, 2 Mo 3.04
Hf: 0.9421 0.7500 0.8366  5 Al 2.81-2.92, 2 Mo 3.04
Al: 0.2475 0.2500 0.8635  4 Mo 2.62-2.77, 5 Hf 2.81-2.92
Al: 0.2525 0.7500 0.3635  4 Mo 2.62-2.77, 5 Hf 2.81-2.92
Al: 0.7475 0.2500 0.6365  4 Mo 2.62-2.77, 5 Hf 2.81-2.92
Al: 0.7525 0.7500 0.1365  4 Mo 2.62-2.77, 5 Hf 2.81-2.92
Mo: 0.1172 0.2500 0.5651  4 Al 2.62-2.77, 2 Mo 2.66
Mo: 0.3828 0.7500 0.0651  4 Al 2.62-2.77, 2 Mo 2.66
Mo: 0.6172 0.2500 0.9349  4 Al 2.62-2.77, 2 Mo 2.66
Mo: 0.8828 0.7500 0.4349  4 Al 2.62-2.77, 2 Mo 2.66

## Properties
calculated total energy = -8.4607 eV per atom
energy relative to the lowest polymorph listed for this composition = 0.161 eV/f.u.



An optimized crystal structure of HfAlMo, computed with GGA-PBE.

a b c (Å): 4.5128 4.5128 4.5128
angles (deg): 60.00 60.00 60.00
Last column: nearest neighbours and their distance in Å.
Positions (direct):
Hf: 0.0000 0.0000 0.0000  4 Al 2.76, 4 Mo 2.76
Al: 0.7500 0.7500 0.7500  4 Hf 2.76
Mo: 0.2500 0.2500 0.2500  4 Hf 2.76

## Properties
calculated total energy = -7.2109 eV per atom
energy relative to the lowest polymorph listed for this composition = 3.910 eV/f.u.



An optimized crystal structure of Hf2Al3Mo4N3, computed with GGA-PBE.

a b c (Å): 5.3794 5.3794 13.5921
angles (deg): 101.27 101.27 60.18
Last column: nearest neighbours and their distance in Å.
Positions (direct):
Hf: 0.0347 0.8673 0.6096  3 N 2.20-2.29
Hf: 0.1327 0.9653 0.8904  3 N 2.20-2.29
Hf: 0.8673 0.0347 0.1096  3 N 2.20-2.29
Hf: 0.9653 0.1327 0.3904  3 N 2.20-2.29
Al: 0.0819 0.3904 0.7492  4 Al 2.69-2.71, 4 Mo 2.71-2.79
Al: 0.3904 0.0819 0.2492  4 Al 2.69-2.71, 4 Mo 2.71-2.79
Al: 0.4421 0.5579 0.2500  4 Al 2.69-2.71, 4 Mo 2.71-2.74
Al: 0.5579 0.4421 0.7500  4 Al 2.69-2.71, 4 Mo 2.71-2.74
Al: 0.6096 0.9181 0.7508  4 Al 2.69-2.71, 4 Mo 2.71-2.79
Al: 0.9181 0.6096 0.2508  4 Al 2.69-2.71, 4 Mo 2.71-2.79
Mo: 0.1945 0.3745 0.0791  3 N 2.11-2.14
Mo: 0.3208 0.4555 0.4202  3 N 2.11-2.14
Mo: 0.3745 0.1945 0.5791  3 N 2.11-2.14
Mo: 0.4555 0.3208 0.9202  3 N 2.11-2.14
Mo: 0.5445 0.6792 0.0798  3 N 2.11-2.14
Mo: 0.6255 0.8055 0.4209  3 N 2.11-2.14
Mo: 0.6792 0.5445 0.5798  3 N 2.11-2.14
Mo: 0.8055 0.6255 0.9209  3 N 2.11-2.14
N: 0.0000 0.5000 0.5000  4 Mo 2.11, 2 Hf 2.29
N: 0.1490 0.7036 0.0001  4 Mo 2.13-2.14, 2 Hf 2.20
N: 0.2964 0.8510 0.4999  4 Mo 2.13-2.14, 2 Hf 2.20
N: 0.5000 0.0000 0.0000  4 Mo 2.11, 2 Hf 2.29
N: 0.7036 0.1490 0.5001  4 Mo 2.13-2.14, 2 Hf 2.20
N: 0.8510 0.2964 0.9999  4 Mo 2.13-2.14, 2 Hf 2.20

## Properties
calculated total energy = -8.8837 eV per atom



An optimized crystal structure of Hf4Al3Mo2N3, computed with GGA-PBE.

a b c (Å): 5.3914 5.3914 14.2811
angles (deg): 100.69 100.69 60.30
Last column: nearest neighbours and their distance in Å.
Positions (direct):
Hf: 0.0266 0.2024 0.0925  3 N 2.18-2.21
Hf: 0.1431 0.3013 0.4077  3 N 2.18-2.21
Hf: 0.2024 0.0266 0.5925  3 N 2.18-2.21
Hf: 0.3013 0.1431 0.9077  3 N 2.18-2.21
Hf: 0.6987 0.8569 0.0923  3 N 2.18-2.21
Hf: 0.7976 0.9734 0.4075  3 N 2.18-2.21
Hf: 0.8569 0.6987 0.5923  3 N 2.18-2.21
Hf: 0.9734 0.7976 0.9075  3 N 2.18-2.21
Al: 0.1244 0.8756 0.2500  2 Al 2.76, 2 Mo 2.77, 4 Hf 2.92-2.93
Al: 0.2869 0.4188 0.7490  2 Mo 2.73-2.75, 2 Al 2.74-2.76, 4 Hf 2.90-2.92
Al: 0.4188 0.2869 0.2490  2 Mo 2.73-2.75, 2 Al 2.74-2.76, 4 Hf 2.90-2.92
Al: 0.5812 0.7131 0.7510  2 Mo 2.73-2.75, 2 Al 2.74-2.76, 4 Hf 2.90-2.92
Al: 0.7131 0.5812 0.2510  2 Mo 2.73-2.75, 2 Al 2.74-2.76, 4 Hf 2.90-2.92
Al: 0.8756 0.1244 0.7500  2 Al 2.76, 2 Mo 2.77, 4 Hf 2.92-2.93
Mo: 0.3762 0.5280 0.0888  3 N 2.22-2.24
Mo: 0.4720 0.6238 0.4112  3 N 2.22-2.24
Mo: 0.5280 0.3762 0.5888  3 N 2.22-2.24
Mo: 0.6238 0.4720 0.9112  3 N 2.22-2.24
N: 0.0000 0.5000 0.0000  4 Hf 2.20, 2 Mo 2.24
N: 0.1494 0.6758 0.5000  4 Hf 2.18-2.21, 2 Mo 2.22
N: 0.3242 0.8506 0.0000  4 Hf 2.18-2.21, 2 Mo 2.22
N: 0.5000 0.0000 0.5000  4 Hf 2.20, 2 Mo 2.24
N: 0.6758 0.1494 0.0000  4 Hf 2.18-2.21, 2 Mo 2.22
N: 0.8506 0.3242 0.5000  4 Hf 2.18-2.21, 2 Mo 2.22

## Properties
calculated total energy = -8.9917 eV per atom



An optimized crystal structure of HfAl3N, computed with GGA-PBE.

a b c (Å): 4.1756 4.1756 4.1756
angles (deg): 90.00 90.00 90.00
Last column: nearest neighbours and their distance in Å.
Positions (direct):
Hf: 0.0000 0.0000 0.0000  12 Al 2.95
Al: 0.0000 0.5000 0.5000  2 N 2.09
Al: 0.5000 0.0000 0.5000  2 N 2.09
Al: 0.5000 0.5000 0.0000  2 N 2.09
N: 0.5000 0.5000 0.5000  6 Al 2.09

## Properties
calculated total energy = -5.8764 eV per atom



An optimized crystal structure of Hf3AlN2, computed with GGA-PBE.

a b c (Å): 3.1764 3.1764 19.5886
angles (deg): 90.00 90.00 120.00
Last column: nearest neighbours and their distance in Å.
Positions (direct):
Hf: 0.0000 0.0000 0.0000  6 N 2.25
Hf: 0.0000 0.0000 0.5000  6 N 2.25
Hf: 0.3333 0.6667 0.1343  3 N 2.27
Hf: 0.3333 0.6667 0.3657  3 N 2.27
Hf: 0.6667 0.3333 0.6343  3 N 2.27
Hf: 0.6667 0.3333 0.8657  3 N 2.27
Al: 0.0000 0.0000 0.2500  6 Hf 2.92, 6 Al 3.18
Al: 0.0000 0.0000 0.7500  6 Hf 2.92, 6 Al 3.18
N: 0.3333 0.6667 0.5661  6 Hf 2.25-2.27
N: 0.3333 0.6667 0.9339  6 Hf 2.25-2.27
N: 0.6667 0.3333 0.0661  6 Hf 2.25-2.27
N: 0.6667 0.3333 0.4339  6 Hf 2.25-2.27

## Properties
calculated total energy = -9.6860 eV per atom



Among the records above, which one has the highest calculated total energy? HfAl3N